Version i
# MgGaSb2Te

MgGaSb2Te after structural relaxation (PBE, Alexandria).

```
MgGaSb2Te
1.0
5.327 0.000 0.000
0.000 5.327 0.000
0.000 0.000 5.436
Te Ga Mg Sb
1 1 1 2
Direct
0.000 0.000 0.500
0.000 0.000 0.000
0.500 0.500 0.500
0.500 0.000 0.000
0.000 0.500 0.000
```

Calculated values
Its calculated volume is 154.25 Å³ per cell. Its density of states at the Fermi level is 0.990 states/eV per atom. Its symmetry is No. 123. The magnetic moment is 0.00 μB per atom.



Version ii
# MgGaSb2Te

MgGaSb2Te after structural relaxation (PBE, Alexandria).

```
MgGaSb2Te
1.0
-2.572 -4.291 -1.988
-1.238 -1.574 4.997
-4.778 2.978 -0.246
Te Mg Sb Ga
1 1 2 1
Direct
0.000 0.000 0.500
0.000 0.000 0.000
0.000 0.500 0.000
0.500 0.000 0.000
0.500 0.500 0.500
```

Calculated values
Its calculated volume is 163.32 Å³ per cell. Its density of states at the Fermi level is 0.766 states/eV per atom. Its symmetry is No. 123. The magnetic moment is 0.00 μB per atom.



Least stable structure: version i



Version i
# MgSc3Ga

MgSc3Ga after structural relaxation (PBE, Alexandria).

```
MgSc3Ga
1.0
-0.277 -2.489 -4.497
4.639 1.818 -1.292
2.213 -4.123 2.146
Ga Sc Mg
1 3 1
Direct
0.000 0.000 0.000
0.500 0.000 0.000
0.000 0.500 0.000
0.000 0.000 0.500
0.500 0.500 0.500
```

Calculated values
Its calculated volume is 136.39 Å³ per cell. Its density of states at the Fermi level is 1.779 states/eV per atom. Its symmetry is No. 221. The magnetic moment is 0.00 μB per atom.



Version ii
# MgSc3Ga

MgSc3Ga after structural relaxation (PBE, Alexandria).

```
MgSc3Ga
1.0
-0.782 4.380 -1.600
-4.606 -0.501 0.880
0.924 5.659 8.057
Sc Ga Mg
6 2 2
Direct
0.765 0.250 0.119
0.268 0.750 0.113
0.381 0.250 0.887
0.884 0.750 0.881
0.574 0.250 0.501
0.074 0.750 0.499
0.982 0.250 0.685
0.666 0.750 0.315
0.171 0.250 0.307
0.478 0.750 0.693
```

Calculated values
Its calculated volume is 214.11 Å³ per cell. Its density of states at the Fermi level is 1.064 states/eV per atom. Its symmetry is No. 63. The magnetic moment is 0.02 μB per atom.



Least stable structure: version i



Version i
# MgSc2Ga2

MgSc2Ga2 after structural relaxation (PBE, Alexandria).

```
MgSc2Ga2
1.0
-2.306 3.677 -0.028
-0.664 -0.384 4.272
3.487 4.772 3.176
Sc Ga Mg
2 2 1
Direct
0.750 0.250 0.500
0.250 0.750 0.500
0.401 0.401 0.199
0.599 0.599 0.801
0.000 0.000 0.000
```

Calculated values
Its calculated volume is 112.40 Å³ per cell. Its density of states at the Fermi level is 0.972 states/eV per atom. Its symmetry is No. 139. The magnetic moment is 0.21 μB per atom.



Version ii
# MgSc2Ga2

MgSc2Ga2 after structural relaxation (PBE, Alexandria).

```
MgSc2Ga2
1.0
7.313 0.000 0.000
0.000 7.313 0.000
0.000 0.000 3.754
Mg Sc Ga
2 4 4
Direct
0.000 0.000 0.000
0.500 0.500 0.000
0.675 0.825 0.500
0.825 0.325 0.500
0.325 0.175 0.500
0.175 0.675 0.500
0.624 0.124 0.000
0.376 0.876 0.000
0.876 0.624 0.000
0.124 0.376 0.000
```

Calculated values
Its calculated volume is 200.77 Å³ per cell. Its density of states at the Fermi level is 0.700 states/eV per atom. Its symmetry is No. 127. The magnetic moment is 0.00 μB per atom.



Least stable structure: version i